1.
Density functional theory data (PBE-GGA) for a geometry-optimized CrRu2W structure.

The relative energy among the computed polymorphs is 57 meV/atom. As for the space group: Cm, No. 8. The value obtained for the energy of formation from the pure elements is 0.137 eV per atom.

Cell: 4.6890 4.6890 4.6739 Å, 80.23 80.23 33.95°
Closest atoms and distances in Å follow each position.
Fractional positions:
Cr  0.2564  0.2564  0.2303  7 Ru 2.62-2.79, 3 W 2.72-2.79, 2 Cr 2.74
Ru  0.9997  0.9997  0.0117  3 Cr 2.62-2.68, 4 W 2.68-2.74, 5 Ru 2.69-2.77
Ru  0.7448  0.7448  0.7530  4 Cr 2.64-2.79, 3 W 2.67-2.74, 5 Ru 2.69-2.77
W  0.4991  0.4991  0.5050  7 Ru 2.67-2.74, 3 Cr 2.72-2.79, 2 W 2.74


2.
Density functional theory data (PBE-GGA) for a geometry-optimized Ca2TaTc structure.

The relative energy among the computed polymorphs is 557 meV/atom. As for the space group: P2/m, No. 10. The value obtained for the energy of formation from the pure elements is 0.716 eV per atom.

Cell: 5.1870 2.8891 6.0582 Å, 68.88 90.00 90.00°
Closest atoms and distances in Å follow each position.
Fractional positions:
Ca  0.0000  0.9800  0.9942  4 Ca 2.80-2.90
Ca  0.0000  0.5200  0.5058  4 Ca 2.80-2.90
Tc  0.5000  0.7500  0.7500  2 Ta 2.85, 2 Tc 2.89, 4 Ca 3.17
Ta  0.5000  0.2500  0.2500  2 Tc 2.85, 2 Ta 2.89


3.
Density functional theory data (PBE-GGA) for a geometry-optimized IrPb structure.

As for the space group: I-43m, No. 217. The value obtained for the energy of formation from the pure elements is 0.608 eV per atom.

Cell: 8.1755 8.1755 8.1755 Å, 90.00 90.00 90.00°
Closest atoms and distances in Å follow each position.
Fractional positions:
Ir  0.1163  0.1163  0.1163  4 Pb 2.59-2.77, 3 Ir 2.69
Ir  0.1163  0.8837  0.8837  4 Pb 2.59-2.77, 3 Ir 2.69
Ir  0.8837  0.1163  0.8837  4 Pb 2.59-2.77, 3 Ir 2.69
Ir  0.8837  0.8837  0.1163  4 Pb 2.59-2.77, 3 Ir 2.69
Ir  0.6163  0.6163  0.6163  4 Pb 2.59-2.77, 3 Ir 2.69
Ir  0.6163  0.3837  0.3837  4 Pb 2.59-2.77, 3 Ir 2.69
Ir  0.3837  0.6163  0.3837  4 Pb 2.59-2.77, 3 Ir 2.69
Ir  0.3837  0.3837  0.6163  4 Pb 2.59-2.77, 3 Ir 2.69
Pb  0.2989  0.2989  0.2989  4 Ir 2.59-2.77
Pb  0.2989  0.7011  0.7011  4 Ir 2.59-2.77
Pb  0.7011  0.2989  0.7011  4 Ir 2.59-2.77
Pb  0.7011  0.7011  0.2989  4 Ir 2.59-2.77
Pb  0.7989  0.7989  0.7989  4 Ir 2.59-2.77
Pb  0.7989  0.2011  0.2011  4 Ir 2.59-2.77
Pb  0.2011  0.7989  0.2011  4 Ir 2.59-2.77
Pb  0.2011  0.2011  0.7989  4 Ir 2.59-2.77


4.
Density functional theory data (PBE-GGA) for a geometry-optimized Tl17Cd11Bi structure.

As for the space group: Cm, No. 8. The value obtained for the energy of formation from the pure elements is 0.021 eV per atom.

Cell: 10.4258 10.4258 10.0069 Å, 109.30 109.30 110.97°
Closest atoms and distances in Å follow each position.
Fractional positions:
Tl  0.0039  0.0039  0.3564  4 Tl 3.34-3.58, 7 Cd 3.45-3.68
Tl  0.6906  0.6906  0.2860  1 Bi 3.31, 4 Cd 3.33-3.47, 7 Tl 3.34-3.71
Tl  0.6471  0.6471  0.6379  4 Tl 3.42-3.58, 6 Cd 3.46-3.56, 1 Bi 3.68
Tl  0.4068  0.4068  0.7249  5 Cd 3.22-3.45, 5 Tl 3.42-3.60
Tl  0.0005  0.0005  0.9963  11 Cd 3.45-3.69, 4 Tl 3.58-3.62, 1 Bi 3.61
Tl  0.3140  0.6075  0.0009  3 Cd 3.29-3.38, 7 Tl 3.43-3.58, 1 Bi 3.67
Tl  0.3930  0.7224  0.3967  4 Cd 3.24-3.58, 1 Bi 3.43, 6 Tl 3.44-3.54
Tl  0.0049  0.3182  0.6014  5 Cd 3.26-3.51, 7 Tl 3.38-3.61
Tl  0.9995  0.3498  0.0034  4 Tl 3.38-3.62, 5 Cd 3.43-3.63, 1 Bi 3.59
Tl  0.2857  0.6865  0.6851  4 Cd 3.21-3.59, 5 Tl 3.38-3.50
Tl  0.6093  0.0015  0.3199  3 Cd 3.21-3.34, 7 Tl 3.41-3.57
Tl  0.0015  0.6093  0.3199  3 Cd 3.21-3.34, 7 Tl 3.41-3.57
Tl  0.6865  0.2857  0.6851  4 Cd 3.21-3.59, 5 Tl 3.38-3.50
Tl  0.3498  0.9995  0.0034  4 Tl 3.38-3.62, 5 Cd 3.43-3.63, 1 Bi 3.59
Tl  0.3182  0.0049  0.6014  5 Cd 3.26-3.51, 7 Tl 3.38-3.61
Tl  0.7224  0.3930  0.3967  4 Cd 3.24-3.58, 1 Bi 3.43, 6 Tl 3.44-3.54
Tl  0.6075  0.3140  0.0009  3 Cd 3.29-3.38, 7 Tl 3.43-3.58, 1 Bi 3.67
Cd  0.1784  0.1784  0.8038  2 Cd 3.05, 1 Bi 3.16, 3 Tl 3.22-3.30
Cd  0.6373  0.8122  0.9987  3 Cd 3.01-3.10, 3 Tl 3.29-3.35
Cd  0.1714  0.3630  0.3713  2 Cd 2.99-3.29, 1 Bi 3.16, 2 Tl 3.21-3.34
Cd  0.8152  0.0010  0.6397  3 Cd 2.98-3.19, 2 Tl 3.21-3.33
Cd  0.6251  0.9917  0.8069  3 Cd 2.98-3.10, 2 Tl 3.26-3.27
Cd  0.8148  0.1769  0.1771  3 Cd 2.99-3.06, 3 Tl 3.24-3.34
Cd  0.1769  0.8148  0.1771  3 Cd 2.99-3.06, 3 Tl 3.24-3.34
Cd  0.9917  0.6251  0.8069  3 Cd 2.98-3.10, 2 Tl 3.26-3.27
Cd  0.0010  0.8152  0.6397  3 Cd 2.98-3.19, 2 Tl 3.21-3.33
Cd  0.3630  0.1714  0.3713  2 Cd 2.99-3.29, 1 Bi 3.16, 2 Tl 3.21-3.34
Cd  0.8122  0.6373  0.9987  3 Cd 3.01-3.10, 3 Tl 3.29-3.35
Bi  0.3715  0.3715  0.1924  3 Cd 3.16, 3 Tl 3.31-3.43


5.
Density functional theory data (PBE-GGA) for a geometry-optimized K2ZnIr structure.

As for the space group: R3m, No. 160. The value obtained for the energy of formation from the pure elements is 0.261 eV per atom.

Cell: 9.2966 9.2966 9.2966 Å, 26.95 26.95 26.95°
Closest atoms and distances in Å follow each position.
Fractional positions:
Ir  0.7917  0.7917  0.7917  3 Zn 2.50
K  0.0417  0.0417  0.0417  3 Ir 3.36, 3 Zn 3.36
K  0.2083  0.2083  0.2083  3 Zn 3.36, 3 Ir 3.36
Zn  0.4584  0.4584  0.4584  3 Ir 2.50


6.
Density functional theory data (PBE-GGA) for a geometry-optimized LiCaMn4 structure.

As for the space group: F-43m, No. 216. The value obtained for the energy of formation from the pure elements is 0.520 eV per atom.

Cell: 5.4053 5.4053 5.4053 Å, 60.00 60.00 60.00°
Closest atoms and distances in Å follow each position.
Fractional positions:
Li  0.0000  0.0000  0.0000  12 Mn 3.17, 4 Ca 3.31
Ca  0.7500  0.7500  0.7500  12 Mn 3.17, 4 Li 3.31
Mn  0.8764  0.3745  0.3745  6 Mn 2.69-2.71
Mn  0.3745  0.3745  0.8764  6 Mn 2.69-2.71
Mn  0.3745  0.8764  0.3745  6 Mn 2.69-2.71
Mn  0.3745  0.3745  0.3745  6 Mn 2.69-2.71


7.
Density functional theory data (PBE-GGA) for a geometry-optimized Ti2GeOs structure.

As for the space group: P4/mmm, No. 123. The value obtained for the energy of formation from the pure elements is -0.437 eV per atom.

Cell: 3.7952 3.9917 3.9917 Å, 90.00 90.00 90.00°
Closest atoms and distances in Å follow each position.
Fractional positions:
Ge  0.5000  0.0000  0.0000  8 Ti 2.75, 4 Os 2.82
Os  0.5000  0.5000  0.5000  8 Ti 2.75, 4 Ge 2.82
Ti  0.0000  0.0000  0.5000  4 Ge 2.75, 4 Os 2.75, 4 Ti 2.82
Ti  0.0000  0.5000  0.0000  4 Ge 2.75, 4 Os 2.75, 4 Ti 2.82


8.
Density functional theory data (PBE-GGA) for a geometry-optimized AcBiSb2Pd5 structure.

As for the space group: P4/mmm, No. 123. For the uncorrected formation energy, the calculation gives -0.429 eV per atom.

Cell: 4.4377 4.4377 11.3005 Å, 90.00 90.00 90.00°
Closest atoms and distances in Å follow each position.
Fractional positions:
Ac  0.0000  0.0000  0.5000  4 Pd 3.14
Bi  0.0000  0.0000  0.0000  8 Pd 2.79
Sb  0.5000  0.5000  0.2743  5 Pd 2.55-2.63
Sb  0.5000  0.5000  0.7257  5 Pd 2.55-2.63
Pd  0.0000  0.5000  0.1491  2 Sb 2.63, 2 Bi 2.79
Pd  0.5000  0.0000  0.1491  2 Sb 2.63, 2 Bi 2.79
Pd  0.0000  0.5000  0.8509  2 Sb 2.63, 2 Bi 2.79
Pd  0.5000  0.0000  0.8509  2 Sb 2.63, 2 Bi 2.79
Pd  0.5000  0.5000  0.5000  2 Sb 2.55


9.
Density functional theory data (PBE-GGA) for a geometry-optimized Sr4TlAg structure.

The relative energy among the computed polymorphs is 644 meV/atom. As for the space group: F-43m, No. 216. The value obtained for the energy of formation from the pure elements is 0.405 eV per atom.

Cell: 7.2296 7.2296 7.2296 Å, 60.00 60.00 60.00°
Closest atoms and distances in Å follow each position.
Fractional positions:
Sr  0.8744  0.3752  0.3752  6 Sr 3.61-3.62
Sr  0.3752  0.3752  0.8744  6 Sr 3.61-3.62
Sr  0.3752  0.8744  0.3752  6 Sr 3.61-3.62
Sr  0.3752  0.3752  0.3752  6 Sr 3.61-3.62
Tl  0.7500  0.7500  0.7500  12 Sr 4.24, 4 Ag 4.43
Ag  0.0000  0.0000  0.0000  12 Sr 4.24, 4 Tl 4.43


10.
Density functional theory data (PBE-GGA) for a geometry-optimized ErPuHf structure.

The relative energy among the computed polymorphs is 302 meV/atom. As for the space group: Fmmm, No. 69. The value obtained for the energy of formation from the pure elements is 0.453 eV per atom.

Cell: 5.9225 5.9225 5.9809 Å, 98.63 98.63 134.19°
Closest atoms and distances in Å follow each position.
Fractional positions:
Er  0.6456  0.3544  0.0000  3 Er 3.18-3.24, 4 Pu 3.20, 4 Hf 3.31
Er  0.3544  0.6456  0.0000  3 Er 3.18-3.24, 4 Pu 3.20, 4 Hf 3.31
Hf  0.8398  0.8398  0.6796  2 Hf 3.04, 4 Pu 3.12, 4 Er 3.31
Hf  0.1602  0.1602  0.3204  2 Hf 3.04, 4 Pu 3.12, 4 Er 3.31
Pu  0.7500  0.2500  0.5000  2 Pu 2.31
Pu  0.2500  0.7500  0.5000  2 Pu 2.31


11.
Density functional theory data (PBE-GGA) for a geometry-optimized BeMo3 structure.

The relative energy among the computed polymorphs is 0 meV/atom. As for the space group: Pm-3n, No. 223. The value obtained for the energy of formation from the pure elements is -0.014 eV per atom.

Cell: 4.8545 4.8545 4.8545 Å, 90.00 90.00 90.00°
Closest atoms and distances in Å follow each position.
Fractional positions:
Be  0.0000  0.0000  0.0000  12 Mo 2.71
Be  0.5000  0.5000  0.5000  12 Mo 2.71
Mo  0.2500  0.0000  0.5000  2 Mo 2.43, 4 Be 2.71
Mo  0.7500  0.0000  0.5000  2 Mo 2.43, 4 Be 2.71
Mo  0.5000  0.2500  0.0000  2 Mo 2.43, 4 Be 2.71
Mo  0.5000  0.7500  0.0000  2 Mo 2.43, 4 Be 2.71
Mo  0.0000  0.5000  0.2500  2 Mo 2.43, 4 Be 2.71
Mo  0.0000  0.5000  0.7500  2 Mo 2.43, 4 Be 2.71


12.
Density functional theory data (PBE-GGA) for a geometry-optimized Dy5Al2Ag structure.

As for the space group: I4/mcm, No. 140. The value obtained for the energy of formation from the pure elements is -0.251 eV per atom.

Cell: 7.6099 7.6099 9.1649 Å, 114.53 114.53 90.00°
Closest atoms and distances in Å follow each position.
Fractional positions:
Dy  0.5202  0.6834  0.7036  3 Al 3.14-3.15, 2 Ag 3.21, 1 Dy 3.49
Dy  0.8166  0.9798  0.2964  3 Al 3.14-3.15, 2 Ag 3.21, 1 Dy 3.49
Dy  0.0000  0.0000  0.0000  4 Al 3.02
Dy  0.5000  0.5000  0.0000  4 Al 3.02
Dy  0.1834  0.0202  0.7036  3 Al 3.14-3.15, 2 Ag 3.21, 1 Dy 3.49
Dy  0.6834  0.1834  0.7036  3 Al 3.14-3.15, 2 Ag 3.21, 1 Dy 3.49
Dy  0.0202  0.5202  0.7036  3 Al 3.14-3.15, 2 Ag 3.21, 1 Dy 3.49
Dy  0.3166  0.8166  0.2964  3 Al 3.14-3.15, 2 Ag 3.21, 1 Dy 3.49
Dy  0.9798  0.4798  0.2964  3 Al 3.14-3.15, 2 Ag 3.21, 1 Dy 3.49
Dy  0.4798  0.3166  0.2964  3 Al 3.14-3.15, 2 Ag 3.21, 1 Dy 3.49
Al  0.1215  0.3785  0.0000  1 Al 2.62
Al  0.6215  0.1215  0.0000  1 Al 2.62
Al  0.3785  0.8785  0.0000  1 Al 2.62
Al  0.8785  0.6215  0.0000  1 Al 2.62
Ag  0.7500  0.7500  0.5000  8 Dy 3.21
Ag  0.2500  0.2500  0.5000  8 Dy 3.21